Computed, not measured: crystalline Y2ThGa at its relaxed geometry at the PBE level of DFT. Values from VASP.

Quantum ESPRESSO input file:
```
&SYSTEM
  ibrav = 0, nat = 4, ntyp = 3
/
ATOMIC_SPECIES
Ga 69.72 Ga.upf
Th 232.04 Th.upf
Y 88.91 Y.upf
ATOMIC_POSITIONS crystal
Ga 0.000 0.000 0.000
Th 0.500 0.500 0.500
Y 0.261 0.261 0.218
Y 0.739 0.739 0.782
CELL_PARAMETERS angstrom
-2.804 -1.030 2.016
-2.634 -1.983 -1.456
3.155 -9.492 2.758
```

Summary:
Magnetization ... 0.00 μB per cell
Distance to the lowest polymorph of the same formula ... 0.37 eV/f.u.
Crystal system ... trigonal